A geometry-optimized ZnSb2IrI structure, computed with PBE.

Cell lengths 5.1350, 5.1350, 5.8284 Å; angles 90.00, 90.00, 90.00 degrees
Positions (direct):
Zn: 0.0000 0.0000 0.0000
Sb: 0.0000 0.5000 0.5000
Sb: 0.5000 0.0000 0.5000
Ir: 0.5000 0.5000 0.5000
I: 0.5000 0.5000 0.0000

## Properties
N(E_F), states/eV per atom: 1.1540
V, Å³/f.u.: 154
Space group: P4/mmm, No. 123
Raw formation energy, kJ/mol of formula units: 251
Distance to the lowest polymorph of the same formula, kJ per mole of atoms: 0.0